Record 1
VASP calculation (PBE) on an optimized crystal structure of CeGaCuS3.

Cell lengths 3.977, 10.448, 6.843 Å; angles 90.00, 106.82, 90.00 degrees
Space group P2_1/m (No. 11)
Asymmetric unit:
Ce1 0.000 0.000 0.000 (multiplicity 2)
Ga1 0.253 0.250 0.496 (multiplicity 2)
Cu1 0.471 0.750 0.943 (multiplicity 2)
S1 0.072 0.750 0.144 (multiplicity 2)
S2 0.369 0.572 0.738 (multiplicity 4)

Computed properties:
The calculation puts the raw formation energy at -1019 meV per atom. As for the crystal system: monoclinic. The value obtained for the total energy is -63.1 eV/cell.

Record 2
VASP calculation (PBE) on an optimized crystal structure of CeScGa2Cu2.

Cell lengths 4.2984, 4.2984, 7.0479 Å; angles 90.00, 90.00, 120.00 degrees
Space group P-3m1 (No. 164)
Asymmetric unit:
Ce1 0.0000 0.0000 0.0000 (multiplicity 1)
Sc1 0.0000 0.0000 0.5000 (multiplicity 1)
Ga1 0.3333 0.6667 0.2803 (multiplicity 2)
Cu1 0.3333 0.6667 0.6972 (multiplicity 2)

Computed properties:
As for the crystal system: trigonal. The value obtained for the total energy is -29.3 eV/cell. Its density of states at the Fermi level is 1.072 states/eV/atom. The formation energy comes out at -0.46 eV/atom.

Record 3
VASP calculation (PBE) on an optimized crystal structure of CeSc2Ga2Cu2.

Cell lengths 4.3472, 4.3472, 25.4647 Å; angles 90.00, 90.00, 120.00 degrees
Space group R-3m (No. 166, hexagonal axes)
Asymmetric unit:
Ce1 0.0000 0.0000 0.0000 (multiplicity 3)
Sc1 0.0000 0.0000 0.1306 (multiplicity 6)
Ga1 0.0000 0.0000 0.2538 (multiplicity 6)
Cu1 0.0000 0.0000 0.4194 (multiplicity 6)

Computed properties:
As for the crystal system: trigonal. The value obtained for the total energy is -106.4 eV/cell. Its density of states at the Fermi level is 1.013 states/eV/atom. The formation energy comes out at -0.37 eV/atom.

Record 4
VASP calculation (PBE) on an optimized crystal structure of CeScGaCu.

Cell lengths 6.942, 6.942, 6.942 Å; angles 90.00, 90.00, 90.00 degrees
Space group F-43m (No. 216)
Asymmetric unit:
Ce1 0.000 0.000 0.000 (multiplicity 4)
Sc1 0.000 0.000 0.500 (multiplicity 4)
Ga1 0.250 0.250 0.750 (multiplicity 4)
Cu1 0.250 0.250 0.250 (multiplicity 4)

Computed properties:
As for the crystal system: cubic. The value obtained for the total energy is -82.6 eV/cell. Its density of states at the Fermi level is 1.791 states/eV/atom. The formation energy comes out at -0.32 eV/atom.

Record 5
VASP calculation (PBE) on an optimized crystal structure of Ce2GaCu4Si3.

Cell lengths 4.112, 4.112, 9.855 Å; angles 90.00, 90.00, 90.00 degrees
Space group P-4m2 (No. 115)
Asymmetric unit:
Ce1 0.000 0.500 0.244 (multiplicity 2)
Ga1 0.000 0.000 0.500 (multiplicity 1)
Cu1 0.000 0.000 0.000 (multiplicity 1)
Cu2 0.000 0.500 0.633 (multiplicity 2)
Cu3 0.500 0.500 0.000 (multiplicity 1)
Si1 0.000 0.500 0.870 (multiplicity 2)
Si2 0.500 0.500 0.500 (multiplicity 1)

Computed properties:
The calculation puts the raw formation energy at -519 meV per atom. As for the crystal system: tetragonal. The value obtained for the total energy is -52.7 eV/cell. Its density of states at the Fermi level is 0.807 states/eV/atom.

Record 6
VASP calculation (PBE) on an optimized crystal structure of CeGa2Cu2Si.

Cell lengths 4.453, 4.453, 5.644 Å; angles 90.00, 90.00, 90.00 degrees
Space group P4/mmm (No. 123)
Asymmetric unit:
Ce1 0.000 0.000 0.000 (multiplicity 1)
Ga1 0.500 0.500 0.227 (multiplicity 2)
Cu1 0.000 0.500 0.500 (multiplicity 2)
Si1 0.000 0.000 0.500 (multiplicity 1)

Computed properties:
The calculation puts the raw formation energy at -120 meV per atom. As for the crystal system: tetragonal. The value obtained for the total energy is -26.3 eV/cell. Its density of states at the Fermi level is 1.088 states/eV/atom.

Record 7
VASP calculation (PBE) on an optimized crystal structure of TbCeGa2Cu2.

Cell lengths 4.3792, 4.3792, 7.2460 Å; angles 90.00, 90.00, 120.00 degrees
Space group P-3m1 (No. 164)
Asymmetric unit:
Tb1 0.0000 0.0000 0.0000 (multiplicity 1)
Ce1 0.0000 0.0000 0.5000 (multiplicity 1)
Ga1 0.3333 0.6667 0.7489 (multiplicity 2)
Cu1 0.3333 0.6667 0.2394 (multiplicity 2)

Computed properties:
As for the crystal system: trigonal. The value obtained for the total energy is -27.5 eV/cell. Its density of states at the Fermi level is 1.066 states/eV/atom. The formation energy comes out at -0.44 eV/atom.

Record 8
VASP calculation (PBE) on an optimized crystal structure of TbCe2Ga2Cu2.

Cell lengths 4.2976, 4.2976, 26.6208 Å; angles 90.00, 90.00, 120.00 degrees
Space group R-3m (No. 166, hexagonal axes)
Asymmetric unit:
Tb1 0.0000 0.0000 0.0000 (multiplicity 3)
Ce1 0.0000 0.0000 0.1397 (multiplicity 6)
Ga1 0.0000 0.0000 0.2629 (multiplicity 6)
Cu1 0.0000 0.0000 0.4044 (multiplicity 6)

Computed properties:
As for the crystal system: trigonal. The value obtained for the total energy is -100.9 eV/cell. Its density of states at the Fermi level is 1.222 states/eV/atom. The formation energy comes out at -0.42 eV/atom.

Record 9
VASP calculation (PBE) on an optimized crystal structure of Tb2CeGa2Cu2.

Cell lengths 4.4109, 4.4109, 27.5313 Å; angles 90.00, 90.00, 120.00 degrees
Space group R-3m (No. 166, hexagonal axes)
Asymmetric unit:
Tb1 0.0000 0.0000 0.1247 (multiplicity 6)
Ce1 0.0000 0.0000 0.0000 (multiplicity 3)
Ga1 0.0000 0.0000 0.2626 (multiplicity 6)
Cu1 0.0000 0.0000 0.4011 (multiplicity 6)

Computed properties:
As for the crystal system: trigonal. The value obtained for the total energy is -95.8 eV/cell. Its density of states at the Fermi level is 1.179 states/eV/atom. The formation energy comes out at -0.36 eV/atom.

Record 10
VASP calculation (PBE) on an optimized crystal structure of Ce2ThGa2Cu2.

Cell lengths 4.2992, 4.2992, 27.4214 Å; angles 90.00, 90.00, 120.00 degrees
Space group R-3m (No. 166, hexagonal axes)
Asymmetric unit:
Ce1 0.0000 0.0000 0.1407 (multiplicity 6)
Th1 0.0000 0.0000 0.0000 (multiplicity 3)
Ga1 0.0000 0.0000 0.2603 (multiplicity 6)
Cu1 0.0000 0.0000 0.4061 (multiplicity 6)

Computed properties:
As for the crystal system: trigonal. The value obtained for the total energy is -108.8 eV/cell. Its density of states at the Fermi level is 1.094 states/eV/atom. The formation energy comes out at -0.39 eV/atom.

Record 11
VASP calculation (PBE) on an optimized crystal structure of CeTh2Ga2Cu2.

Cell lengths 4.3855, 4.3855, 28.6750 Å; angles 90.00, 90.00, 120.00 degrees
Space group R-3m (No. 166, hexagonal axes)
Asymmetric unit:
Ce1 0.0000 0.0000 0.0000 (multiplicity 3)
Th1 0.0000 0.0000 0.1252 (multiplicity 6)
Ga1 0.0000 0.0000 0.2712 (multiplicity 6)
Cu1 0.0000 0.0000 0.3967 (multiplicity 6)

Computed properties:
As for the crystal system: trigonal. The value obtained for the total energy is -110.6 eV/cell. Its density of states at the Fermi level is 1.154 states/eV/atom. The formation energy comes out at -0.27 eV/atom.

Record 12
VASP calculation (PBE) on an optimized crystal structure of CeThGaCu.

Cell lengths 7.225, 7.225, 7.225 Å; angles 90.00, 90.00, 90.00 degrees
Space group F-43m (No. 216)
Asymmetric unit:
Ce1 0.000 0.000 0.000 (multiplicity 4)
Th1 0.000 0.000 0.500 (multiplicity 4)
Ga1 0.250 0.250 0.250 (multiplicity 4)
Cu1 0.250 0.250 0.750 (multiplicity 4)

Computed properties:
As for the crystal system: cubic. The value obtained for the total energy is -85.4 eV/cell. Its density of states at the Fermi level is 2.154 states/eV/atom. The formation energy comes out at -0.22 eV/atom.

What is the total energy in the fourth record?
-82.6 eV/cell